The following is a meta-GGA SCAN calculation of a crystal of KRuRh relaxed with PBEsol, from Alexandria.

a b c (Å): 4.768 4.768 2.598
angles (deg): 90.00 90.00 120.00
Element x y z (fractional)
K  0.000  0.000  0.000
Ru  0.667  0.333  0.500
Rh  0.333  0.667  0.500

Its total DFT energy (no corrections) is -73.315 eV/cell. Its density of states at the Fermi level is 1.398 states/eV/atom. The formation enthalpy at 0 K comes out at 348 kJ/mol of formula units.

***

The following is a meta-GGA SCAN calculation of a crystal of MgFePt2 relaxed with PBEsol, from Alexandria.

a b c (Å): 2.804 3.608 5.697
angles (deg): 90.00 90.00 90.00
Element x y z (fractional)
Mg  0.000  0.000  0.000
Fe  0.000  0.000  0.500
Pt  0.500  0.500  0.260
Pt  0.500  0.500  0.740

Its total DFT energy (no corrections) is -166.259 eV/cell. Its density of states at the Fermi level is 0.421 states/eV/atom. The formation enthalpy at 0 K comes out at -267 kJ/mol of formula units.

***

The following is a meta-GGA SCAN calculation of a crystal of Ni2Pt relaxed with PBEsol, from Alexandria.

a b c (Å): 5.138 2.638 10.753
angles (deg): 90.00 90.00 90.00
Element x y z (fractional)
Ni  0.116  0.250  0.249
Ni  0.128  0.250  0.588
Ni  0.372  0.750  0.088
Ni  0.384  0.750  0.749
Ni  0.616  0.250  0.251
Ni  0.628  0.250  0.912
Ni  0.872  0.750  0.412
Ni  0.884  0.750  0.751
Pt  0.138  0.250  0.912
Pt  0.362  0.750  0.412
Pt  0.638  0.250  0.588
Pt  0.862  0.750  0.088

Its total DFT energy (no corrections) is -411.854 eV/cell. Its density of states at the Fermi level is 0.494 states/eV/atom. The formation enthalpy at 0 K comes out at -41 kJ/mol of formula units.

***

Copy entry 2 word for word.
The following is a meta-GGA SCAN calculation of a crystal of MgFePt2 relaxed with PBEsol, from Alexandria.

a b c (Å): 2.804 3.608 5.697
angles (deg): 90.00 90.00 90.00
Element x y z (fractional)
Mg  0.000  0.000  0.000
Fe  0.000  0.000  0.500
Pt  0.500  0.500  0.260
Pt  0.500  0.500  0.740

Its total DFT energy (no corrections) is -166.259 eV/cell. Its density of states at the Fermi level is 0.421 states/eV/atom. The formation enthalpy at 0 K comes out at -267 kJ/mol of formula units.

***

The highest formation enthalpy at 0 K belongs to which entry?
KRuRh